Record 1
VASP calculation (GGA-PBE) on a relaxed structure of ErZrTlPd.

Geometry as CIF:
```
data_ErZrTlPd
_symmetry_space_group_name_H-M 'P 1'
_symmetry_Int_Tables_number 1
_cell_length_a 7.100
_cell_length_b 7.100
_cell_length_c 7.100
_cell_angle_alpha 90.00
_cell_angle_beta 90.00
_cell_angle_gamma 90.00
loop_
_symmetry_equiv_pos_as_xyz
'x,y,z'
loop_
_atom_site_label
_atom_site_type_symbol
_atom_site_fract_x
_atom_site_fract_y
_atom_site_fract_z
_atom_site_occupancy
Er1 Er 0.000 0.000 0.000 1
Er2 Er 0.000 0.500 0.500 1
Er3 Er 0.500 0.000 0.500 1
Er4 Er 0.500 0.500 0.000 1
Zr1 Zr 0.000 0.000 0.500 1
Zr2 Zr 0.000 0.500 0.000 1
Zr3 Zr 0.500 0.000 0.000 1
Zr4 Zr 0.500 0.500 0.500 1
Tl1 Tl 0.250 0.250 0.750 1
Tl2 Tl 0.250 0.750 0.250 1
Tl3 Tl 0.750 0.250 0.250 1
Tl4 Tl 0.750 0.750 0.750 1
Pd1 Pd 0.250 0.250 0.250 1
Pd2 Pd 0.250 0.750 0.750 1
Pd3 Pd 0.750 0.250 0.750 1
Pd4 Pd 0.750 0.750 0.250 1
```

Results
The theoretical density is 10.56 g/cm³. The total DFT energy (no corrections) is -5.51 eV/atom. Its crystal system is cubic. The energy of formation comes out at -132 kJ/mol of formula units.



Record 2
VASP calculation (GGA-PBE) on a relaxed structure of Er2Tm2Pd3.

Geometry as CIF:
```
data_Er2Tm2Pd3
_symmetry_space_group_name_H-M 'P 1'
_symmetry_Int_Tables_number 1
_cell_length_a 4.888
_cell_length_b 4.893
_cell_length_c 7.673
_cell_angle_alpha 108.36
_cell_angle_beta 108.40
_cell_angle_gamma 90.06
loop_
_symmetry_equiv_pos_as_xyz
'x,y,z'
loop_
_atom_site_label
_atom_site_type_symbol
_atom_site_fract_x
_atom_site_fract_y
_atom_site_fract_z
_atom_site_occupancy
Er1 Er 0.127 0.127 0.251 1
Er2 Er 0.873 0.873 0.749 1
Tm1 Tm 0.373 0.373 0.749 1
Tm2 Tm 0.627 0.627 0.251 1
Pd1 Pd 0.000 0.500 0.000 1
Pd2 Pd 0.254 0.754 0.510 1
Pd3 Pd 0.746 0.246 0.490 1
```

Results
The theoretical density is 10.03 g/cm³. The total DFT energy (no corrections) is -5.56 eV/atom. Its crystal system is triclinic. The energy of formation comes out at -508 kJ/mol of formula units.



Record 3
VASP calculation (GGA-PBE) on a relaxed structure of Er2Tm3Pd3.

Geometry as CIF:
```
data_Er2Tm3Pd3
_symmetry_space_group_name_H-M 'P 1'
_symmetry_Int_Tables_number 1
_cell_length_a 3.514
_cell_length_b 5.093
_cell_length_c 20.706
_cell_angle_alpha 90.00
_cell_angle_beta 90.00
_cell_angle_gamma 90.00
loop_
_symmetry_equiv_pos_as_xyz
'x,y,z'
loop_
_atom_site_label
_atom_site_type_symbol
_atom_site_fract_x
_atom_site_fract_y
_atom_site_fract_z
_atom_site_occupancy
Er1 Er 0.000 0.000 0.226 1
Er2 Er 0.000 0.000 0.774 1
Er3 Er 0.500 0.500 0.274 1
Er4 Er 0.500 0.500 0.726 1
Tm1 Tm 0.000 0.000 0.000 1
Tm2 Tm 0.000 0.500 0.116 1
Tm3 Tm 0.000 0.500 0.884 1
Tm4 Tm 0.500 0.000 0.384 1
Tm5 Tm 0.500 0.000 0.616 1
Tm6 Tm 0.500 0.500 0.500 1
Pd1 Pd 0.000 0.000 0.500 1
Pd2 Pd 0.000 0.500 0.386 1
Pd3 Pd 0.000 0.500 0.614 1
Pd4 Pd 0.500 0.000 0.114 1
Pd5 Pd 0.500 0.000 0.886 1
Pd6 Pd 0.500 0.500 0.000 1
```

Results
The theoretical density is 10.40 g/cm³. The total DFT energy (no corrections) is -5.44 eV/atom. Its crystal system is orthorhombic. The energy of formation comes out at -518 kJ/mol of formula units.